A plane-wave DFT calculation with PBE-GGA was carried out for a relaxed YAgTe2I crystal.

The structure in CIF format:
```
data_YAgTe2I
_chemical_formula_sum 'Y1 Ag1 Te2 I1'
_cell_length_a 5.891
_cell_length_b 5.891
_cell_length_c 5.965
_cell_angle_alpha 90.00
_cell_angle_beta 90.00
_cell_angle_gamma 90.00
_symmetry_space_group_name_H-M 'P 4/m m m'
_symmetry_Int_Tables_number 123
_symmetry_space_group_name_Hall '-P 4 2'
loop_
_atom_site_label
_atom_site_fract_x
_atom_site_fract_y
_atom_site_fract_z
Y1 0.000 0.000 0.000
Ag1 0.500 0.500 0.500
Te1 0.000 0.500 0.000
I1 0.000 0.000 0.500
```

Results
ρ, g/cm³: 4.64
M_tot, Bohr magnetons per cell: 0.0
Uncorrected formation energy, eV/f.u.: -1.10